Model A:
## Y2AgIr2 (PBE)

Data for a geometry-optimized Y2AgIr2 structure.

The value obtained for the size of the total moment is 0.0 μB/cell. Its calculated volume is 21.17 Å³/atom.

It has space group P4/mbm (No. 127), with a = 7.340 Å, b = 7.340 Å, c = 3.928 Å, α = 90.00°, β = 90.00° and γ = 90.00°. The asymmetric unit holds Y at (0.173, 0.327, 0.000), Ag at (0.000, 0.000, 0.500) and Ir at (0.127, 0.627, 0.500).

=====

Model B:
## Y2AgIr2 (PBE)

Data for a geometry-optimized Y2AgIr2 structure.

The value obtained for the size of the total moment is 0.0 μB/cell. Its calculated volume is 21.37 Å³/atom.

It has space group P4/mbm (No. 127), with a = 8.191 Å, b = 8.191 Å, c = 3.185 Å, α = 90.00°, β = 90.00° and γ = 90.00°. The asymmetric unit holds Y at (0.152, 0.348, 0.000), Ag at (0.000, 0.000, 0.000) and Ir at (0.143, 0.643, 0.500).

=====

It comes down to model A, which is 248 meV per atom more stable than the next structure.